(1)
VASP calculation (PBE) on crystalline Sm5HgPd2 at its relaxed geometry.

Results
Total magnetic moment in μB/atom: 0.0000

a b c (Å): 8.0586 8.0586 13.3614
angles (deg): 90.00 90.00 90.00
Space group I4/mcm (No. 140)
Asymmetric unit:
Sm1 0.0000 0.0000 0.0000
Sm2 0.1599 0.3401 0.1416
Hg1 0.0000 0.0000 0.2500
Pd1 0.1309 0.3691 0.5000

---

(2)
VASP calculation (PBE) on crystalline SmHg4Pd7 at its relaxed geometry.

Results
Total magnetic moment in μB/atom: 0.0000

a b c (Å): 10.6566 5.1261 10.1511
angles (deg): 90.00 121.63 90.00
Space group C2/m (No. 12)
Asymmetric unit:
Sm1 0.0000 0.0000 0.0000
Hg1 0.0841 0.5000 0.7673
Hg2 0.2369 0.5000 0.3218
Pd1 0.0000 0.5000 0.0000
Pd2 0.0387 0.0000 0.3698
Pd3 0.1557 0.5000 0.5414
Pd4 0.2129 0.0000 0.9196

---

(3)
VASP calculation (PBE) on crystalline Sm2Hg3Pd2 at its relaxed geometry.

Results
Energy relative to the lowest polymorph listed for this composition in eV per atom: 0.000
Total magnetic moment in μB/atom: 0.0000

a b c (Å): 9.9654 4.5027 7.5102
angles (deg): 90.00 109.00 90.00
Space group C2/m (No. 12)
Asymmetric unit:
Sm1 0.1388 0.0000 0.2767
Hg1 0.0000 0.5000 0.5000
Hg2 0.1278 0.5000 0.9412
Pd1 0.1561 0.0000 0.6910

---

(4)
VASP calculation (PBE) on crystalline Sm3HgPd at its relaxed geometry.

Results
Energy relative to the lowest polymorph listed for this composition in eV per atom: 0.000
Total magnetic moment in μB/atom: 0.0000

a b c (Å): 9.4263 7.8010 8.2076
angles (deg): 90.00 108.06 90.00
Space group P2_1/c (No. 14)
Asymmetric unit:
Sm1 0.0813 0.0129 0.2156
Sm2 0.3087 0.1502 0.6171
Sm3 0.3639 0.6820 0.4837
Hg1 0.0761 0.6737 0.0470
Pd1 0.4169 0.0423 0.3157

---

no.,DFT total energy (eV per cell),formation energy (meV per atom)
1,-154.270,-536
2,-88.605,-169
3,-49.597,-581
4,-87.303,-435